The following is a DFT calculation (PBE+U) of crystalline GaFeO2F at its relaxed geometry.

a = 3.8591 Å, b = 3.8591 Å, c = 3.7825 Å
α = 90.00°, β = 90.00°, γ = 90.00°
Closest atoms and distances in Å follow each position.
Sites, in units of the cell vectors:
Ga  0.0000  0.0000  0.0000  2 F 1.89, 4 O 1.93
Fe  0.5000  0.5000  0.5000  8 O 2.70, 4 F 2.73
O  0.0000  0.5000  0.0000  2 Ga 1.93
O  0.5000  0.0000  0.0000  2 Ga 1.93
F  0.0000  0.0000  0.5000  2 Ga 1.89

## Properties
- Space group: P4/mmm, No. 123
- VASP energy: -5.4404 eV/atom